No. 1
# GdLuPdAu | the Alexandria database | PBE-GGA | optimized geometry
data_GdLuPdAu
_chemical_formula_sum 'Gd4 Lu4 Pd4 Au4'
_space_group_name_H-M_alt 'F -4 3 m'
_space_group_IT_number 216
_space_group_name_Hall 'F -4 2 3'
_cell_length_a 7.0794
_cell_length_b 7.0794
_cell_length_c 7.0794
_cell_angle_alpha 90.00
_cell_angle_beta 90.00
_cell_angle_gamma 90.00
loop_
_atom_site_label
_atom_site_type_symbol
_atom_site_fract_x
_atom_site_fract_y
_atom_site_fract_z
_atom_site_occupancy
Gd1 Gd 0.0000 0.0000 0.0000 1
Lu1 Lu 0.0000 0.0000 0.5000 1
Pd1 Pd 0.2500 0.2500 0.2500 1
Au1 Au 0.2500 0.2500 0.7500 1
# N(E_F) in states/eV per atom: 0.85
# Spin magnetization in μB/atom: 1.793
# DFT formation energy in eV per atom: -0.86



No. 2
# GdLuRuAu | the Alexandria database | PBE-GGA | optimized geometry
data_GdLuRuAu
_chemical_formula_sum 'Gd4 Lu4 Ru4 Au4'
_space_group_name_H-M_alt 'F -4 3 m'
_space_group_IT_number 216
_space_group_name_Hall 'F -4 2 3'
_cell_length_a 6.9618
_cell_length_b 6.9618
_cell_length_c 6.9618
_cell_angle_alpha 90.00
_cell_angle_beta 90.00
_cell_angle_gamma 90.00
loop_
_atom_site_label
_atom_site_type_symbol
_atom_site_fract_x
_atom_site_fract_y
_atom_site_fract_z
_atom_site_occupancy
Gd1 Gd 0.0000 0.0000 0.0000 1
Lu1 Lu 0.0000 0.0000 0.5000 1
Ru1 Ru 0.2500 0.2500 0.7500 1
Au1 Au 0.2500 0.2500 0.2500 1
# N(E_F) in states/eV per atom: 0.48
# Spin magnetization in μB/atom: 1.738
# DFT formation energy in eV per atom: -0.59



No. 3
# GdLuSiAu | the Alexandria database | PBE-GGA | optimized geometry
data_GdLuSiAu
_chemical_formula_sum 'Gd4 Lu4 Si4 Au4'
_space_group_name_H-M_alt 'F -4 3 m'
_space_group_IT_number 216
_space_group_name_Hall 'F -4 2 3'
_cell_length_a 7.0953
_cell_length_b 7.0953
_cell_length_c 7.0953
_cell_angle_alpha 90.00
_cell_angle_beta 90.00
_cell_angle_gamma 90.00
loop_
_atom_site_label
_atom_site_type_symbol
_atom_site_fract_x
_atom_site_fract_y
_atom_site_fract_z
_atom_site_occupancy
Gd1 Gd 0.0000 0.0000 0.0000 1
Lu1 Lu 0.0000 0.0000 0.5000 1
Si1 Si 0.2500 0.2500 0.2500 1
Au1 Au 0.2500 0.2500 0.7500 1
# N(E_F) in states/eV per atom: 0.90
# Spin magnetization in μB/atom: 1.896
# Energy relative to the elements, uncorrected in meV per atom: -661



No. 4
# GdLuSnAu | the Alexandria database | PBE-GGA | optimized geometry
data_GdLuSnAu
_chemical_formula_sum 'Gd4 Lu4 Sn4 Au4'
_space_group_name_H-M_alt 'F -4 3 m'
_space_group_IT_number 216
_space_group_name_Hall 'F -4 2 3'
_cell_length_a 7.3397
_cell_length_b 7.3397
_cell_length_c 7.3397
_cell_angle_alpha 90.00
_cell_angle_beta 90.00
_cell_angle_gamma 90.00
loop_
_atom_site_label
_atom_site_type_symbol
_atom_site_fract_x
_atom_site_fract_y
_atom_site_fract_z
_atom_site_occupancy
Gd1 Gd 0.0000 0.0000 0.0000 1
Lu1 Lu 0.0000 0.0000 0.5000 1
Sn1 Sn 0.2500 0.2500 0.7500 1
Au1 Au 0.2500 0.2500 0.2500 1
# N(E_F) in states/eV per atom: 1.14
# Spin magnetization in μB/atom: 1.929
# DFT formation energy in eV per atom: -0.71



No. 5
# GdLuTcAu | the Alexandria database | PBE-GGA | optimized geometry
data_GdLuTcAu
_chemical_formula_sum 'Gd4 Lu4 Tc4 Au4'
_space_group_name_H-M_alt 'F -4 3 m'
_space_group_IT_number 216
_space_group_name_Hall 'F -4 2 3'
_cell_length_a 6.9662
_cell_length_b 6.9662
_cell_length_c 6.9662
_cell_angle_alpha 90.00
_cell_angle_beta 90.00
_cell_angle_gamma 90.00
loop_
_atom_site_label
_atom_site_type_symbol
_atom_site_fract_x
_atom_site_fract_y
_atom_site_fract_z
_atom_site_occupancy
Gd1 Gd 0.0000 0.0000 0.0000 1
Lu1 Lu 0.0000 0.0000 0.5000 1
Tc1 Tc 0.2500 0.2500 0.7500 1
Au1 Au 0.2500 0.2500 0.2500 1
# N(E_F) in states/eV per atom: 0.44
# Spin magnetization in μB/atom: 1.755
# DFT formation energy in eV per atom: -0.37



No. 6
# GdLuTlAu | the Alexandria database | PBE-GGA | optimized geometry
data_GdLuTlAu
_chemical_formula_sum 'Gd4 Lu4 Tl4 Au4'
_space_group_name_H-M_alt 'F -4 3 m'
_space_group_IT_number 216
_space_group_name_Hall 'F -4 2 3'
_cell_length_a 7.3742
_cell_length_b 7.3742
_cell_length_c 7.3742
_cell_angle_alpha 90.00
_cell_angle_beta 90.00
_cell_angle_gamma 90.00
loop_
_atom_site_label
_atom_site_type_symbol
_atom_site_fract_x
_atom_site_fract_y
_atom_site_fract_z
_atom_site_occupancy
Gd1 Gd 0.0000 0.0000 0.0000 1
Lu1 Lu 0.0000 0.0000 0.5000 1
Tl1 Tl 0.2500 0.2500 0.7500 1
Au1 Au 0.2500 0.2500 0.2500 1
# N(E_F) in states/eV per atom: 0.93
# Spin magnetization in μB/atom: 1.809
# DFT formation energy in eV per atom: -0.56